# 1
KTaPd2 | PBE | relaxed

Values from the calculation:
Crystal system: cubic
Distance to the lowest polymorph of the same formula in eV per formula unit: 0.00

Cell lengths 6.7527, 6.7527, 6.7527 Å; angles 90.00, 90.00, 90.00 degrees
Space group Fm-3m (No. 225)
Asymmetric unit:
K1 0.0000 0.0000 0.0000 [4 per cell]
Ta1 0.0000 0.0000 0.5000 [4 per cell]
Pd1 0.2500 0.2500 0.2500 [8 per cell]

***

# 2
KTaPd2 | PBE | relaxed

Values from the calculation:
Crystal system: tetragonal
Distance to the lowest polymorph of the same formula in eV per formula unit: 0.04

Cell lengths 7.5831, 7.5831, 6.6183 Å; angles 90.00, 90.00, 90.00 degrees
Space group I-42d (No. 122)
Asymmetric unit:
K1 0.0000 0.0000 0.0000 [4 per cell]
Ta1 0.0000 0.0000 0.5000 [4 per cell]
Pd1 0.1892 0.7500 0.6250 [8 per cell]

***

# 3
K2TaPd | PBE | relaxed

Values from the calculation:
Crystal system: tetragonal
Distance to the lowest polymorph of the same formula in eV per formula unit: 0.00

Cell lengths 11.9614, 11.9614, 5.0232 Å; angles 90.00, 90.00, 90.00 degrees
Space group I-42d (No. 122)
Asymmetric unit:
K1 0.0977 0.7500 0.1250 [8 per cell]
Ta1 0.0000 0.0000 0.5000 [4 per cell]
Pd1 0.0000 0.0000 0.0000 [4 per cell]

***

# 4
K3TaPd | PBE | relaxed

Values from the calculation:
Crystal system: cubic
Distance to the lowest polymorph of the same formula in eV per formula unit: 0.00

Cell lengths 6.0696, 6.0696, 6.0696 Å; angles 90.00, 90.00, 90.00 degrees
Space group Pm-3m (No. 221)
Asymmetric unit:
K1 0.0000 0.0000 0.5000 [3 per cell]
Ta1 0.5000 0.5000 0.5000 [1 per cell]
Pd1 0.0000 0.0000 0.0000 [1 per cell]

***

# 5
K3TaTe6Pd2 | PBE | relaxed

Values from the calculation:
Formation energy without anion corrections in eV per atom: -0.480
Crystal system: monoclinic

Cell lengths 7.3314, 12.7041, 8.3072 Å; angles 90.00, 107.11, 90.00 degrees
Space group C2/m (No. 12)
Asymmetric unit:
K1 0.0000 0.0000 0.0000 [2 per cell]
K2 0.0000 0.3328 0.0000 [4 per cell]
Ta1 0.0000 0.5000 0.5000 [2 per cell]
Te1 0.2254 0.0000 0.6775 [4 per cell]
Te2 0.2262 0.3330 0.6774 [8 per cell]
Pd1 0.0000 0.1666 0.5000 [4 per cell]

***

# 6
KTbPd4 | PBE | relaxed

Values from the calculation:
Crystal system: cubic
DFT total energy in eV/atom: -4.83

Cell lengths 7.7752, 7.7752, 7.7752 Å; angles 90.00, 90.00, 90.00 degrees
Space group F-43m (No. 216)
Asymmetric unit:
K1 0.0000 0.0000 0.0000 [4 per cell]
Tb1 0.2500 0.2500 0.2500 [4 per cell]
Pd1 0.1246 0.1246 0.6246 [16 per cell]